The following is a PBE calculation of a relaxed Ca2MoBr crystal, from Alexandria via LeMat-Bulk.

Output
* energy above the most stable polymorph in this dataset: 0.432 eV/atom
* calculated volume: 123.9 Å³ per cell
* E_form (uncorrected): 0.345 eV per atom
* Fermi-level density of states: 2.42 states/eV/f.u.
* DFT total energy: -3.782 eV per atom

abc: 6.2423 6.2423 6.2423
angles: 144.97 115.07 75.96
Last column: magnetic moment on the atom in μB.
Fractional positions:
Br 0.2500 0.7500 0.5000  0.04
Mo 0.7500 0.2500 0.5000  3.08
Ca 0.0225 0.0225 0.0000  0.00
Ca 0.4775 0.4775 0.0000  0.00